Density functional theory data (meta-GGA SCAN) for a PBEsol-optimized structure of KZr2InTc.

Lattice parameters (Å, degrees): 4.6287 4.6287 5.2027 90.00 90.00 90.00
With the nearest neighbours (Å) after each atom.
Space group P4/mmm (No. 123)
One atom of each set of equivalent atoms:
K 0.0000 0.0000 0.0000 (multiplicity 1)  4 Zr 2.31
Zr 0.0000 0.5000 0.0000 (multiplicity 2)  2 K 2.31
In 0.0000 0.0000 0.5000 (multiplicity 1)  2 K 2.60
Tc 0.5000 0.5000 0.5000 (multiplicity 1)  4 In 3.27, 8 Zr 3.48

Results
V = 111.5 Å³/f.u.
Energy of formation from the pure elements = 2.205 eV/atom